Here is PmV2RuO8 after structural relaxation from the Alexandria database. Energies are from PBE with a Hubbard U.

a b c (Å): 5.2645 5.2645 6.7880
angles (deg): 90.06 90.06 67.27
Fractional coordinates of all 12 atoms:
Pm 0.0000 0.0000 0.0000
V 0.3577 0.3577 0.2758
V 0.6423 0.6423 0.7242
Ru 0.0000 0.0000 0.5000
O 0.2140 0.7301 0.2828
O 0.2232 0.2232 0.4574
O 0.2668 0.2668 0.0536
O 0.2699 0.7860 0.7172
O 0.7301 0.2140 0.2828
O 0.7332 0.7332 0.9464
O 0.7768 0.7768 0.5426
O 0.7860 0.2699 0.7172

Results
* SG: C2/m, No. 12
* magnetization: 1.01 μB per formula unit
* N(E_F): 5.74 states/eV/cell
* final energy: -7.704 eV/atom